First-principles (GGA+U) data for a geometry-optimized UCo2Ag2O6 structure, as listed in the Alexandria database.

Output
E = -0.244 Ha/atom
Total magnetic moment = 6.0 μB per formula unit

POSCAR file:
```
UCo2Ag2O6
1.0
-4.086 3.579 -0.064
0.245 -3.570 4.087
5.720 3.783 0.546
U Co Ag O
1 2 2 6
Cartesian
2.860 1.891 0.273
1.651 0.722 2.966
0.228 3.070 1.603
-3.287 2.259 0.702
-0.555 -2.251 3.321
0.907 2.623 3.571
3.530 1.386 2.198
0.971 1.168 0.998
2.088 3.767 0.815
-1.652 2.406 2.371
-0.209 0.024 3.754
```